Record 1
Compound: RbNaTl2As
Source: Alexandria via LeMat-Bulk
Functional: PBE
Structure: optimized geometry

Cell lengths 7.4113, 7.4113, 7.4113 Å; angles 143.05, 137.64, 57.45 degrees
Closest atoms and distances in Å follow each position.
Positions (direct):
Rb 0.0000 0.0000 0.0000  2 Na 3.71, 4 As 3.82, 6 Tl 3.84-4.04
Na 0.2208 0.7208 0.5000  2 As 3.07, 2 Tl 3.22
Tl 0.3906 0.3906 0.0000  1 As 2.80
Tl 0.7470 0.2470 0.5000  2 As 2.98, 2 Tl 3.26
As 0.6061 0.6061 0.0000  3 Tl 2.80-2.98, 2 Na 3.07

Computed properties:
**DOS at the Fermi energy**: 2.055 states/eV per cell
**VASP energy**: -2.54 eV per atom
**Formation enthalpy at 0 K**: -205 meV/atom

Record 2
Compound: CaMg14Sn
Source: Alexandria via LeMat-Bulk
Functional: PBE
Structure: optimized geometry

Cell lengths 10.4599, 6.5519, 6.5519 Å; angles 58.17, 90.00, 90.00 degrees
Closest atoms and distances in Å follow each position.
Positions (direct):
Ca 0.0000 0.0000 0.0000  2 Sn 3.19, 10 Mg 3.26-3.29
Mg 0.0000 0.0052 0.4944  8 Mg 3.12-3.26, 2 Sn 3.17-3.38, 2 Ca 3.26-3.29
Mg 0.0000 0.4944 0.0052  8 Mg 3.12-3.26, 2 Sn 3.17-3.38, 2 Ca 3.26-3.29
Mg 0.2413 0.6612 0.6612  11 Mg 3.17-3.30, 1 Sn 3.19
Mg 0.2566 0.1596 0.6596  10 Mg 3.14-3.32, 1 Sn 3.26, 1 Ca 3.29
Mg 0.2574 0.1643 0.1643  11 Mg 3.16-3.32, 1 Ca 3.28
Mg 0.2566 0.6596 0.1596  10 Mg 3.14-3.32, 1 Sn 3.26, 1 Ca 3.29
Mg 0.5000 0.5012 0.5012  12 Mg 3.18-3.31
Mg 0.5000 0.5021 0.9948  12 Mg 3.14-3.31
Mg 0.5000 0.9948 0.5021  12 Mg 3.14-3.31
Mg 0.5000 0.9994 0.9994  12 Mg 3.16-3.28
Mg 0.7434 0.1596 0.6596  10 Mg 3.14-3.32, 1 Sn 3.26, 1 Ca 3.29
Mg 0.7426 0.1643 0.1643  11 Mg 3.16-3.32, 1 Ca 3.28
Mg 0.7434 0.6596 0.1596  10 Mg 3.14-3.32, 1 Sn 3.26, 1 Ca 3.29
Mg 0.7587 0.6612 0.6612  11 Mg 3.17-3.30, 1 Sn 3.19
Sn 0.0000 0.4910 0.4910  10 Mg 3.17-3.38, 2 Ca 3.19

Computed properties:
**Relative energy among the computed polymorphs**: 0.00 eV/f.u.
**DOS at the Fermi energy**: 10.859 states/eV per cell
**VASP energy**: -1.81 eV per atom
**Formation enthalpy at 0 K**: -39 meV/atom

Record 3
Compound: Re2TeRh
Source: Alexandria via LeMat-Bulk
Functional: PBE
Structure: optimized geometry

Cell lengths 3.0060, 3.0060, 7.4369 Å; angles 90.00, 90.00, 90.00 degrees
Closest atoms and distances in Å follow each position.
Positions (direct):
Re 0.0000 0.0000 0.0000  4 Re 2.63
Re 0.5000 0.5000 0.2079  4 Re 2.63, 4 Rh 2.83
Te 0.5000 0.5000 0.7174  4 Rh 2.86, 4 Re 2.99, 4 Te 3.01
Rh 0.0000 0.0000 0.4596  4 Re 2.83, 4 Te 2.86, 4 Rh 3.01

Computed properties:
**DOS at the Fermi energy**: 2.363 states/eV per cell
**VASP energy**: -8.52 eV per atom